--- one ---
Density functional theory data (GGA-PBE) for a relaxed structure of AcLaPm4.

a b c (Å): 3.7395 6.4582 9.8226
angles (deg): 109.04 100.93 90.06
Element x y z (fractional)
Ac: 0.0000 0.0000 0.0000
La: 0.5000 0.5000 0.0000
Pm: 0.1683 0.5020 0.3378
Pm: 0.3309 0.9992 0.6604
Pm: 0.6691 0.0008 0.3396
Pm: 0.8317 0.4980 0.6622

Values from the calculation:
Calculated volume in A^3/atom: 36.6
Crystal system: triclinic
DOS(E_F) in states/eV per cell: 10.6

=====

--- two ---
Density functional theory data (GGA-PBE) for a relaxed structure of AcLaPm4.

a b c (Å): 7.2060 7.2060 10.0208
angles (deg): 90.00 90.00 121.95
Element x y z (fractional)
Ac: 0.1883 0.8117 0.7500
Ac: 0.8117 0.1883 0.2500
La: 0.0000 0.0000 0.0000
La: 0.0000 0.0000 0.5000
Pm: 0.1972 0.3550 0.7500
Pm: 0.3305 0.6695 0.0747
Pm: 0.3305 0.6695 0.4253
Pm: 0.3550 0.1972 0.2500
Pm: 0.6450 0.8028 0.7500
Pm: 0.6695 0.3305 0.5747
Pm: 0.6695 0.3305 0.9253
Pm: 0.8028 0.6450 0.2500

Values from the calculation:
Calculated volume in A^3/atom: 36.8
Crystal system: orthorhombic
DOS(E_F) in states/eV per cell: 19.3

=====

--- three ---
Density functional theory data (GGA-PBE) for a relaxed structure of AcLaPm4.

a b c (Å): 6.8124 6.8124 6.8124
angles (deg): 60.00 60.00 60.00
Element x y z (fractional)
Ac: 0.0000 0.0000 0.0000
La: 0.7500 0.7500 0.7500
Pm: 0.3756 0.3756 0.3756
Pm: 0.3756 0.3756 0.8732
Pm: 0.3756 0.8732 0.3756
Pm: 0.8732 0.3756 0.3756

Values from the calculation:
Calculated volume in A^3/atom: 37.3
Crystal system: cubic
DOS(E_F) in states/eV per cell: 11.6

=====

Most favorable structure: one. The second most favorable one is 18.6 kJ/mol of atoms above it.